# WAuO2F, optimized geometry, DFT PBE with a Hubbard U
data_WAuO2F
_symmetry_space_group_name_H-M 'P 4/m m m'
_symmetry_Int_Tables_number 123
_symmetry_space_group_name_Hall '-P 4 2'
_cell_length_a 4.219
_cell_length_b 4.219
_cell_length_c 4.213
_cell_angle_alpha 90.00
_cell_angle_beta 90.00
_cell_angle_gamma 90.00
loop_
_atom_site_label
_atom_site_fract_x
_atom_site_fract_y
_atom_site_fract_z
_atom_site_occupancy
W1 0.000 0.000 0.000 1
Au1 0.500 0.500 0.500 1
O1 0.000 0.500 0.500 1
F1 0.500 0.500 0.000 1
# - V (Å³ per atom) = 15.000
# - crystal system = tetragonal
# - total magnetization (μB/f.u.) = 3.617
# - VASP energy (eV per atom) = -4.1349